# 1
Entry from OQMD via LeMat-Bulk: a geometry-optimized NiGeMoW structure (PBE-GGA).

abc: 6.140 6.140 6.140
angles: 90.00 90.00 90.00
Space group F-43m (No. 216)
Unique sites:
Ni 0.000 0.000 0.000 (multiplicity 4)
Ge 0.250 0.250 0.750 (multiplicity 4)
Mo 0.000 0.000 0.500 (multiplicity 4)
W 0.250 0.250 0.250 (multiplicity 4)

Calculated values
VASP energy, eV/atom: -8.286

***

# 2
Entry from OQMD via LeMat-Bulk: a geometry-optimized Gd3Fe7Ag2 structure (PBE-GGA).

abc: 5.1490 5.1490 25.9505
angles: 90.00 90.00 120.00
Space group R-3m (No. 166, hexagonal axes)
Unique sites:
Gd 0.0000 0.0000 0.0000 (multiplicity 3)
Gd 0.0000 0.0000 0.1407 (multiplicity 6)
Fe 0.0000 0.0000 0.5000 (multiplicity 3)
Fe 0.0005 0.5002 0.0877 (multiplicity 18)
Ag 0.0000 0.0000 0.3330 (multiplicity 6)

Calculated values
Energy of formation, meV per atom: 19
VASP energy, eV/atom: -6.462

***

no.,V (Å³/f.u.)
1,57.88
2,198.61